{"formula": "Cr3Au5", "functional": "PBE", "state": "optimized geometry", "lattice": [[-3.886, -3.237, 1.397], [2.724, -5.411, 4.896], [0.351, 5.960, 4.994]], "species": ["Cr", "Cr", "Cr", "Cr", "Cr", "Cr", "Au", "Au", "Au", "Au", "Au", "Au", "Au", "Au", "Au", "Au"], "fractional_positions": [[0.171, 0.159, 0.501], [0.250, 0.001, 0.000], [0.331, 0.500, 0.160], [0.670, 0.500, 0.841], [0.751, 0.999, 0.000], [0.830, 0.841, 0.501], [0.074, 0.701, 0.848], [0.225, 0.848, 0.299], [0.250, 0.500, 0.500], [0.275, 0.299, 0.848], [0.427, 0.847, 0.701], [0.573, 0.152, 0.299], [0.726, 0.701, 0.153], [0.751, 0.500, 0.501], [0.775, 0.153, 0.701], [0.927, 0.299, 0.153]], "space_group": "No. 8", "rho_g_cm3": 13.42, "final_energy_ev_per_cell": -86.415, "volume_a3_per_cell": 282.2}

{"formula": "Cd2Pd5Pt5", "functional": "PBE", "state": "optimized geometry", "lattice": [[4.780, 0.000, 0.000], [-2.390, 4.283, -0.203], [0.000, -2.390, 9.676]], "species": ["Cd", "Cd", "Pd", "Pd", "Pd", "Pd", "Pd", "Pt", "Pt", "Pt", "Pt", "Pt"], "fractional_positions": [[0.086, 0.173, 0.749], [0.914, 0.827, 0.251], [0.500, 0.000, 0.500], [0.665, 0.330, 0.998], [0.583, 0.167, 0.251], [0.417, 0.833, 0.749], [0.335, 0.670, 0.002], [0.173, 0.345, 0.495], [0.755, 0.510, 0.756], [0.245, 0.490, 0.244], [0.827, 0.655, 0.505], [0.000, 0.000, 0.000]], "space_group": "No. 12", "rho_g_cm3": 14.70, "final_energy_ev_per_cell": -59.165, "volume_a3_per_cell": 195.8}

{"formula": "Nb2CrI2", "functional": "PBE", "state": "optimized geometry", "lattice": [[-2.225, 0.353, -2.995], [-2.220, -2.711, 1.330], [-6.779, 4.543, 3.225]], "species": ["I", "I", "Cr", "Nb", "Nb"], "fractional_positions": [[0.395, 0.395, 0.210], [0.605, 0.605, 0.790], [0.000, 0.000, 0.000], [0.750, 0.250, 0.500], [0.250, 0.750, 0.500]], "space_group": "No. 139", "rho_g_cm3": 6.95, "final_energy_ev_per_cell": -26.733, "volume_a3_per_cell": 117.5}

{"formula": "SmTlAgTe3", "functional": "PBE", "state": "optimized geometry", "lattice": [[-2.323, 0.365, -3.600], [6.028, -5.102, -1.839], [-6.564, -8.955, 3.328]], "species": ["Sm", "Sm", "Tl", "Tl", "Ag", "Ag", "Te", "Te", "Te", "Te", "Te", "Te"], "fractional_positions": [[0.000, 0.000, 0.500], [0.000, 0.000, 0.000], [0.239, 0.479, 0.250], [0.761, 0.521, 0.750], [0.466, 0.932, 0.750], [0.534, 0.068, 0.250], [0.640, 0.280, 0.055], [0.360, 0.720, 0.945], [0.360, 0.720, 0.555], [0.640, 0.280, 0.445], [0.083, 0.165, 0.750], [0.917, 0.835, 0.250]], "space_group": "No. 63", "rho_g_cm3": 7.21, "final_energy_ev_per_cell": -46.916, "volume_a3_per_cell": 389.7}

Copy entry 1 word for word.
{"formula": "Cr3Au5", "functional": "PBE", "state": "optimized geometry", "lattice": [[-3.886, -3.237, 1.397], [2.724, -5.411, 4.896], [0.351, 5.960, 4.994]], "species": ["Cr", "Cr", "Cr", "Cr", "Cr", "Cr", "Au", "Au", "Au", "Au", "Au", "Au", "Au", "Au", "Au", "Au"], "fractional_positions": [[0.171, 0.159, 0.501], [0.250, 0.001, 0.000], [0.331, 0.500, 0.160], [0.670, 0.500, 0.841], [0.751, 0.999, 0.000], [0.830, 0.841, 0.501], [0.074, 0.701, 0.848], [0.225, 0.848, 0.299], [0.250, 0.500, 0.500], [0.275, 0.299, 0.848], [0.427, 0.847, 0.701], [0.573, 0.152, 0.299], [0.726, 0.701, 0.153], [0.751, 0.500, 0.501], [0.775, 0.153, 0.701], [0.927, 0.299, 0.153]], "space_group": "No. 8", "rho_g_cm3": 13.42, "final_energy_ev_per_cell": -86.415, "volume_a3_per_cell": 282.2}